(1)
Pm7HoEr12: optimized geometry, GGA-PBE.

Results
- space group = No. 229
- calculated formation energy (meV/atom) = 667
- E above lowest polymorph (eV per formula unit) = 8.67
- DOS at the Fermi energy (states/eV/cell) = 27.29

Unit cell a=9.7156 b=9.7156 c=9.7156 alpha=109.47 beta=109.47 gamma=109.47
With the nearest neighbours (Å) after each atom.
Element x y z (fractional)
Pm1 0.0000 0.0000 0.5000  6 Er 2.81
Pm2 0.5000 0.0000 0.5000  12 Er 3.97-4.02
Pm3 0.5000 0.5000 0.5000  6 Er 2.81
Pm4 0.0000 0.5000 0.5000  12 Er 3.97-4.02
Pm5 0.5000 0.0000 0.0000  6 Er 2.81
Pm6 0.0000 0.5000 0.0000  6 Er 2.81
Pm7 0.5000 0.5000 0.0000  12 Er 3.97-4.02
Er1 0.7536 0.2464 0.0000  2 Pm 2.81
Er2 0.2464 0.0000 0.7536  2 Pm 2.81
Er3 0.7536 0.0000 0.2464  2 Pm 2.81
Er4 0.5073 0.7536 0.7536  2 Pm 2.81
Er5 0.2464 0.7536 0.0000  2 Pm 2.81
Er6 0.4927 0.2464 0.2464  2 Pm 2.81
Er7 0.0000 0.7536 0.2464  2 Pm 2.81
Er8 0.2464 0.4927 0.2464  2 Pm 2.81
Er9 0.7536 0.5073 0.7536  2 Pm 2.81
Er10 0.2464 0.2464 0.4927  2 Pm 2.81
Er11 0.0000 0.2464 0.7536  2 Pm 2.81
Er12 0.7536 0.7536 0.5073  2 Pm 2.81
Ho1 0.0000 0.0000 0.0000  12 Er 3.91

***

(2)
Pm4HoEr15: optimized geometry, GGA-PBE.

Results
- space group = No. 123
- calculated formation energy (meV/atom) = 22
- DOS at the Fermi energy (states/eV/cell) = 26.82

Unit cell a=5.0032 b=5.0032 c=24.9436 alpha=90.00 beta=90.00 gamma=90.00
With the nearest neighbours (Å) after each atom.
Element x y z (fractional)
Er1 0.0000 0.5000 0.9013  2 Ho 3.51, 8 Er 3.51-3.54, 2 Pm 3.54
Er2 0.0000 0.5000 0.2993  4 Pm 3.53-3.54, 8 Er 3.54
Er3 0.5000 0.0000 0.2993  4 Pm 3.53-3.54, 8 Er 3.54
Er4 0.5000 0.5000 0.8011  8 Er 3.54, 4 Pm 3.54
Er5 0.5000 0.5000 0.6003  8 Er 3.54, 4 Pm 3.54
Er6 0.5000 0.5000 0.1989  8 Er 3.54, 4 Pm 3.54
Er7 0.5000 0.0000 0.7007  4 Pm 3.53-3.54, 8 Er 3.54
Er8 0.0000 0.5000 0.5000  8 Er 3.54, 4 Pm 3.54
Er9 0.5000 0.0000 0.5000  8 Er 3.54, 4 Pm 3.54
Er10 0.5000 0.5000 0.0000  8 Er 3.51, 4 Ho 3.54
Er11 0.0000 0.5000 0.7007  4 Pm 3.53-3.54, 8 Er 3.54
Er12 0.0000 0.5000 0.0987  2 Ho 3.51, 8 Er 3.51-3.54, 2 Pm 3.54
Er13 0.5000 0.5000 0.3997  8 Er 3.54, 4 Pm 3.54
Er14 0.5000 0.0000 0.0987  8 Er 3.51-3.54, 2 Ho 3.51, 2 Pm 3.54
Er15 0.5000 0.0000 0.9013  8 Er 3.51-3.54, 2 Ho 3.51, 2 Pm 3.54
Ho1 0.0000 0.0000 0.0000  12 Er 3.51-3.54
Pm1 0.0000 0.0000 0.3996  12 Er 3.54
Pm2 0.0000 0.0000 0.1994  12 Er 3.53-3.54
Pm3 0.0000 0.0000 0.6004  12 Er 3.54
Pm4 0.0000 0.0000 0.8006  12 Er 3.53-3.54

***

(3)
Pm2Ho7Er2: optimized geometry, GGA-PBE.

Results
- space group = No. 12
- calculated formation energy (meV/atom) = 155
- E above lowest polymorph (eV per formula unit) = 0.00
- DOS at the Fermi energy (states/eV/cell) = 18.00

Unit cell a=8.0010 b=10.3414 c=8.0011 alpha=126.10 beta=88.51 gamma=53.90
With the nearest neighbours (Å) after each atom.
Element x y z (fractional)
Ho1 0.6479 0.0800 0.3521  5 Ho 3.33-3.53, 2 Er 3.43, 3 Pm 3.45-3.71
Ho2 0.0000 0.5000 0.0000  6 Ho 3.27-3.41
Ho3 0.7580 0.6794 0.7673  6 Ho 3.25-3.62, 2 Er 3.27-3.40
Ho4 0.2420 0.3206 0.2327  6 Ho 3.25-3.62, 2 Er 3.27-3.40
Ho5 0.3521 0.9200 0.6479  5 Ho 3.33-3.53, 2 Er 3.43, 3 Pm 3.45-3.71
Ho6 0.7673 0.3206 0.7580  6 Ho 3.25-3.62, 2 Er 3.27-3.40
Ho7 0.2327 0.6794 0.2420  6 Ho 3.25-3.62, 2 Er 3.27-3.40
Er1 0.2856 0.0000 0.2856  6 Ho 3.27-3.43
Er2 0.7144 0.0000 0.7144  6 Ho 3.27-3.43
Pm1 0.7850 0.3045 0.2150  2 Pm 3.41-3.66, 7 Ho 3.45-3.76, 2 Er 3.69
Pm2 0.2150 0.6955 0.7850  2 Pm 3.41-3.66, 7 Ho 3.45-3.76, 2 Er 3.69

***

(4)
Pm2HoEr4: optimized geometry, GGA-PBE.

Results
- space group = No. 5
- calculated formation energy (meV/atom) = 189
- E above lowest polymorph (eV per formula unit) = 1.27
- DOS at the Fermi energy (states/eV/cell) = 16.94

Unit cell a=8.8572 b=8.8512 c=8.8509 alpha=135.55 beta=99.20 gamma=97.22
With the nearest neighbours (Å) after each atom.
Element x y z (fractional)
Pm1 0.6249 0.3827 0.2578  4 Er 3.25-3.61
Pm2 0.1250 0.3796 0.7543  4 Er 3.25-3.63
Pm3 0.5972 0.4898 0.8939  1 Er 2.98
Pm4 0.6532 0.0469 0.3932  1 Er 2.98
Er1 0.7807 0.0526 0.7743  1 Ho 3.31, 1 Pm 3.34, 3 Er 3.51-3.62
Er2 0.3755 0.0515 0.6783  1 Er 2.98, 1 Pm 2.98, 1 Ho 2.99
Er3 0.3721 0.6056 0.2320  1 Er 2.98, 2 Pm 3.25
Er4 0.8739 0.0526 0.1754  1 Er 2.97, 1 Pm 2.98, 1 Ho 2.99
Er5 0.8777 0.6103 0.7333  1 Er 2.97, 2 Pm 3.25
Er6 0.4692 0.7435 0.7718  1 Ho 3.31, 1 Pm 3.35, 3 Er 3.52-3.62
Er7 0.2766 0.0513 0.2723  1 Ho 3.31, 2 Pm 3.35-3.68, 3 Er 3.54-3.58
Er8 0.9735 0.7453 0.2746  1 Ho 3.31, 2 Pm 3.35-3.69, 3 Er 3.53-3.58
Ho1 0.0985 0.4927 0.3939  3 Er 2.99-3.31
Ho2 0.1517 0.0455 0.8947  3 Er 2.99-3.31

***

(5)
Pm5Ho3Er4: optimized geometry, GGA-PBE.

Results
- space group = No. 12
- calculated formation energy (meV/atom) = 255
- DOS at the Fermi energy (states/eV/cell) = 16.82

Unit cell a=5.7343 b=6.8789 c=12.3502 alpha=105.88 beta=76.58 gamma=65.37
With the nearest neighbours (Å) after each atom.
Element x y z (fractional)
Er1 0.1769 0.9015 0.7447  1 Pm 2.96
Er2 0.8231 0.0985 0.2553  1 Pm 2.96
Er3 0.1966 0.6553 0.9515  5 Pm 3.23-3.49, 2 Er 3.43-3.54
Er4 0.8034 0.3447 0.0485  5 Pm 3.23-3.49, 2 Er 3.43-3.54
Pm1 0.5094 0.8904 0.0907  1 Pm 3.02, 3 Er 3.23-3.33
Pm2 0.4906 0.1096 0.9093  1 Pm 3.02, 3 Er 3.23-3.33
Pm3 0.8754 0.4798 0.7695  1 Ho 3.29, 3 Er 3.49-3.50, 2 Pm 3.58-3.63
Pm4 0.5000 0.5000 0.5000  2 Ho 2.87, 2 Er 2.96
Pm5 0.1246 0.5202 0.2305  1 Ho 3.29, 3 Er 3.49-3.50, 2 Pm 3.58-3.63
Ho1 0.0000 0.5000 0.5000  2 Pm 2.87
Ho2 0.6467 0.0976 0.6091  2 Pm 3.29-3.58, 1 Ho 3.40
Ho3 0.3533 0.9024 0.3909  2 Pm 3.29-3.58, 1 Ho 3.40

***

(6)
PmHo2Er6: optimized geometry, GGA-PBE.

Results
- space group = No. 136
- calculated formation energy (meV/atom) = 22
- E above lowest polymorph (eV per formula unit) = 0.00
- DOS at the Fermi energy (states/eV/cell) = 22.75

Unit cell a=4.9906 b=10.5709 c=10.5709 alpha=90.00 beta=90.00 gamma=90.00
With the nearest neighbours (Å) after each atom.
Element x y z (fractional)
Er1 0.5000 0.4998 0.6657  8 Er 3.50-3.53, 3 Ho 3.52-3.53, 1 Pm 3.53
Er2 0.5000 0.8324 0.3324  4 Ho 3.51-3.54, 6 Er 3.51-3.53, 2 Pm 3.54
Er3 0.5000 0.1658 0.9998  8 Er 3.50-3.53, 3 Ho 3.52-3.53, 1 Pm 3.53
Er4 0.5000 0.5002 0.3343  8 Er 3.50-3.53, 3 Ho 3.52-3.53, 1 Pm 3.53
Er5 0.0000 0.3343 0.4998  8 Er 3.50-3.53, 3 Ho 3.52-3.53, 1 Pm 3.53
Er6 0.0000 0.9999 0.8343  8 Er 3.50-3.53, 3 Ho 3.52-3.53, 1 Pm 3.53
Er7 0.0000 0.6676 0.8324  4 Ho 3.51-3.54, 6 Er 3.51-3.53, 2 Pm 3.54
Er8 0.0000 0.3324 0.1676  4 Ho 3.51-3.54, 6 Er 3.51-3.53, 2 Pm 3.54
Er9 0.5000 0.8342 0.0002  8 Er 3.50-3.53, 3 Ho 3.52-3.53, 1 Pm 3.53
Er10 0.0000 0.6657 0.5002  8 Er 3.50-3.53, 3 Ho 3.52-3.53, 1 Pm 3.53
Er11 0.0000 0.0001 0.1657  8 Er 3.50-3.53, 3 Ho 3.52-3.53, 1 Pm 3.53
Er12 0.5000 0.1676 0.6676  4 Ho 3.51-3.54, 6 Er 3.51-3.53, 2 Pm 3.54
Pm1 0.5000 0.5000 0.0000  8 Er 3.53-3.54, 4 Ho 3.54
Pm2 0.0000 0.0000 0.5000  8 Er 3.53-3.54, 4 Ho 3.54
Ho1 0.0000 0.6675 0.1675  10 Er 3.51-3.54, 2 Pm 3.54
Ho2 0.5000 0.1675 0.3324  10 Er 3.51-3.54, 2 Pm 3.54
Ho3 0.5000 0.8325 0.6676  10 Er 3.51-3.54, 2 Pm 3.54
Ho4 0.0000 0.3325 0.8325  10 Er 3.51-3.54, 2 Pm 3.54

***

(7)
Pm2Ho12Er: optimized geometry, GGA-PBE.

Results
- space group = No. 125
- calculated formation energy (meV/atom) = 373
- DOS at the Fermi energy (states/eV/cell) = 57.43

Unit cell a=6.4288 b=6.4288 c=24.5486 alpha=90.00 beta=90.00 gamma=90.00
With the nearest neighbours (Å) after each atom.
Element x y z (fractional)
Ho1 0.2493 0.7493 0.1111  6 Ho 3.21-3.35, 2 Er 3.55
Ho2 0.1688 0.3312 0.4389  6 Ho 3.07-3.38
Ho3 0.6688 0.8312 0.5611  6 Ho 3.07-3.38
Ho4 0.7493 0.2493 0.8889  6 Ho 3.21-3.35, 2 Er 3.55
Ho5 0.6688 0.1688 0.4389  6 Ho 3.07-3.38
Ho6 0.2507 0.2493 0.1111  6 Ho 3.21-3.35, 2 Er 3.55
Ho7 0.3312 0.1688 0.5611  6 Ho 3.07-3.38
Ho8 0.0000 0.0000 0.3371  1 Ho 3.09
Ho9 0.2493 0.2507 0.8889  6 Ho 3.21-3.35, 2 Er 3.55
Ho10 0.8312 0.3312 0.5611  6 Ho 3.07-3.38
Ho11 0.5000 0.5000 0.2114  5 Ho 3.09-3.35, 4 Pm 3.42
Ho12 0.0000 0.0000 0.6629  1 Ho 3.09
Ho13 0.0000 0.0000 0.2114  5 Ho 3.09-3.35, 4 Pm 3.42
Ho14 0.5000 0.5000 0.3371  1 Ho 3.09
Ho15 0.8312 0.6688 0.4389  6 Ho 3.07-3.38
Ho16 0.7507 0.7493 0.8889  6 Ho 3.21-3.35, 2 Er 3.55
Ho17 0.3312 0.8312 0.4389  6 Ho 3.07-3.38
Ho18 0.5000 0.5000 0.6629  1 Ho 3.09
Ho19 0.7507 0.2507 0.1111  6 Ho 3.21-3.35, 2 Er 3.55
Ho20 0.7493 0.7507 0.1111  6 Ho 3.21-3.35, 2 Er 3.55
Ho21 0.2507 0.7507 0.8889  6 Ho 3.21-3.35, 2 Er 3.55
Ho22 0.0000 0.0000 0.7886  5 Ho 3.09-3.35, 4 Pm 3.42
Ho23 0.1688 0.6688 0.5611  6 Ho 3.07-3.38
Ho24 0.5000 0.5000 0.7886  5 Ho 3.09-3.35, 4 Pm 3.42
Pm1 0.0000 0.5000 0.7414  8 Ho 3.42-3.75
Pm2 0.0000 0.5000 0.2586  8 Ho 3.42-3.75
Pm3 0.5000 0.0000 0.7414  8 Ho 3.42-3.75
Pm4 0.5000 0.0000 0.2586  8 Ho 3.42-3.75
Er1 0.0000 0.5000 0.0000  8 Ho 3.55
Er2 0.5000 0.0000 0.0000  8 Ho 3.55

***

(8)
Pm3HoEr6: optimized geometry, GGA-PBE.

Results
- space group = No. 36
- calculated formation energy (meV/atom) = 150
- DOS at the Fermi energy (states/eV/cell) = 28.73

Unit cell a=6.2349 b=10.9145 c=10.9145 alpha=119.65 beta=90.00 gamma=90.00
With the nearest neighbours (Å) after each atom.
Element x y z (fractional)
Er1 0.9008 0.0444 0.9556  1 Ho 3.34, 4 Pm 3.51-3.56, 2 Er 3.54
Er2 0.3678 0.5353 0.9560  5 Er 3.20-3.46, 2 Ho 3.26-3.46, 2 Pm 3.28-3.52
Er3 0.4008 0.9556 0.0444  1 Ho 3.34, 4 Pm 3.51-3.56, 2 Er 3.54
Er4 0.0400 0.3824 0.2881  5 Er 3.38-3.78, 4 Pm 3.39-3.66
Er5 0.5400 0.2881 0.3824  5 Er 3.38-3.78, 4 Pm 3.39-3.66
Er6 0.0400 0.7119 0.6176  5 Er 3.38-3.78, 4 Pm 3.39-3.66
Er7 0.3678 0.0440 0.4647  5 Er 3.20-3.46, 2 Ho 3.26-3.46, 2 Pm 3.28-3.52
Er8 0.8678 0.4647 0.0440  5 Er 3.20-3.46, 2 Ho 3.26-3.46, 2 Pm 3.28-3.52
Er9 0.1428 0.7221 0.2779  4 Er 3.20-3.37, 1 Pm 3.39, 2 Ho 3.40-3.45
Er10 0.8678 0.9560 0.5353  5 Er 3.20-3.46, 2 Ho 3.26-3.46, 2 Pm 3.28-3.52
Er11 0.6428 0.2779 0.7221  4 Er 3.20-3.37, 1 Pm 3.39, 2 Ho 3.40-3.45
Er12 0.5400 0.6176 0.7119  5 Er 3.38-3.78, 4 Pm 3.39-3.66
Ho1 0.6385 0.7970 0.2030  3 Pm 3.26-3.56, 7 Er 3.26-3.46
Ho2 0.1385 0.2030 0.7970  3 Pm 3.26-3.56, 7 Er 3.26-3.46
Pm1 0.4606 0.2833 0.0614  1 Ho 3.26, 6 Er 3.28-3.56
Pm2 0.5666 0.6097 0.3903  7 Er 3.39-3.79, 1 Ho 3.56, 2 Pm 3.66
Pm3 0.9606 0.0614 0.2833  1 Ho 3.26, 6 Er 3.28-3.56
Pm4 0.9606 0.7167 0.9386  1 Ho 3.26, 6 Er 3.28-3.56
Pm5 0.0666 0.3903 0.6097  7 Er 3.39-3.79, 1 Ho 3.56, 2 Pm 3.66
Pm6 0.4606 0.9386 0.7167  1 Ho 3.26, 6 Er 3.28-3.56

***

(9)
Pm6HoEr2: optimized geometry, GGA-PBE.

Results
- space group = No. 15
- calculated formation energy (meV/atom) = 85
- E above lowest polymorph (eV per formula unit) = 0.60
- DOS at the Fermi energy (states/eV/cell) = 24.92

Unit cell a=6.2143 b=10.0680 c=10.0680 alpha=71.54 beta=85.11 gamma=85.11
With the nearest neighbours (Å) after each atom.
Element x y z (fractional)
Pm1 0.1804 0.9785 0.2606  4 Pm 3.33-3.66, 2 Ho 3.44-3.51, 2 Er 3.52
Pm2 0.3468 0.9265 0.6444  4 Pm 3.33-3.66, 3 Er 3.43-3.52, 1 Ho 3.53
Pm3 0.5137 0.3116 0.5934  4 Pm 3.33-3.66, 3 Er 3.43-3.52, 1 Ho 3.52
Pm4 0.0137 0.5934 0.3116  4 Pm 3.33-3.66, 3 Er 3.43-3.52, 1 Ho 3.52
Pm5 0.9863 0.4066 0.6884  4 Pm 3.33-3.66, 3 Er 3.43-3.52, 1 Ho 3.52
Pm6 0.8196 0.0215 0.7394  4 Pm 3.33-3.66, 2 Ho 3.44-3.51, 2 Er 3.52
Pm7 0.4863 0.6884 0.4066  4 Pm 3.33-3.66, 3 Er 3.43-3.52, 1 Ho 3.52
Pm8 0.6804 0.2606 0.9785  4 Pm 3.33-3.66, 2 Ho 3.44-3.51, 2 Er 3.52
Pm9 0.1532 0.3556 0.0735  4 Pm 3.33-3.66, 3 Er 3.43-3.52, 1 Ho 3.53
Pm10 0.6532 0.0735 0.3556  4 Pm 3.33-3.66, 3 Er 3.43-3.52, 1 Ho 3.53
Pm11 0.8468 0.6444 0.9265  4 Pm 3.33-3.66, 3 Er 3.43-3.52, 1 Ho 3.53
Pm12 0.3196 0.7394 0.0215  4 Pm 3.33-3.66, 2 Ho 3.44-3.51, 2 Er 3.52
Ho1 0.2500 0.0990 0.9010  8 Pm 3.44-3.53
Ho2 0.7500 0.9010 0.0990  8 Pm 3.44-3.53
Er1 0.5839 0.4327 0.2343  8 Pm 3.43-3.52
Er2 0.4161 0.5673 0.7657  8 Pm 3.43-3.52
Er3 0.0839 0.2343 0.4327  8 Pm 3.43-3.52
Er4 0.9161 0.7657 0.5673  8 Pm 3.43-3.52

***

- What is the calculated formation energy in the fifth record?
  255 meV/atom